No. 1
## Ga3Sn12Bi5 (PBE)

Data for a geometry-optimized Ga3Sn12Bi5 structure.

Unit cell a=15.2826 b=15.2826 c=15.2826 alpha=109.47 beta=109.47 gamma=109.47
Last column: nearest neighbours and their distance in Å.
Fractional positions:
Ga  0.1250  0.2500  0.3750  4 Sn 2.84
Ga  0.1250  0.3750  0.7500  4 Sn 2.84
Ga  0.2500  0.3750  0.1250  4 Sn 2.84
Ga  0.2500  0.8750  0.6250  4 Sn 2.84
Ga  0.3750  0.1250  0.2500  4 Sn 2.84
Ga  0.3750  0.7500  0.1250  4 Sn 2.84
Ga  0.6250  0.2500  0.8750  4 Sn 2.84
Ga  0.6250  0.8750  0.7500  4 Sn 2.84
Ga  0.7500  0.1250  0.3750  4 Sn 2.84
Ga  0.7500  0.6250  0.8750  4 Sn 2.84
Ga  0.8750  0.6250  0.2500  4 Sn 2.84
Ga  0.8750  0.7500  0.6250  4 Sn 2.84
Sn  0.0599  0.6369  0.3924  1 Ga 2.84, 1 Sn 3.05, 2 Bi 3.06-3.15
Sn  0.0599  0.9231  0.6676  1 Ga 2.84, 1 Sn 3.05, 2 Bi 3.06-3.15
Sn  0.0769  0.2445  0.1369  1 Ga 2.84, 1 Sn 3.05, 2 Bi 3.06-3.15
Sn  0.0769  0.3324  0.9401  1 Ga 2.84, 1 Sn 3.05, 2 Bi 3.06-3.15
Sn  0.1076  0.7445  0.6676  1 Ga 2.84, 1 Sn 3.05, 2 Bi 3.06-3.15
Sn  0.1076  0.8631  0.4401  1 Ga 2.84, 1 Sn 3.05, 2 Bi 3.06-3.15
Sn  0.1369  0.0769  0.2445  1 Ga 2.84, 1 Sn 3.05, 2 Bi 3.06-3.15
Sn  0.1369  0.5599  0.8924  1 Ga 2.84, 1 Sn 3.05, 2 Bi 3.06-3.15
Sn  0.1676  0.2445  0.6076  1 Ga 2.84, 1 Sn 3.05, 2 Bi 3.06-3.15
Sn  0.1676  0.4231  0.5599  1 Ga 2.84, 1 Sn 3.05, 2 Bi 3.06-3.15
Sn  0.2445  0.1369  0.0769  1 Ga 2.84, 1 Sn 3.05, 2 Bi 3.06-3.15
Sn  0.2445  0.6076  0.1676  1 Ga 2.84, 1 Sn 3.05, 2 Bi 3.06-3.15
Sn  0.2555  0.3324  0.8924  1 Ga 2.84, 1 Sn 3.05, 2 Bi 3.06-3.15
Sn  0.2555  0.4231  0.3631  1 Ga 2.84, 1 Sn 3.05, 2 Bi 3.06-3.15
Sn  0.3324  0.8924  0.2555  1 Ga 2.84, 1 Sn 3.05, 2 Bi 3.06-3.15
Sn  0.3324  0.9401  0.0769  1 Ga 2.84, 1 Sn 3.05, 2 Bi 3.06-3.15
Sn  0.3631  0.2555  0.4231  1 Ga 2.84, 1 Sn 3.05, 2 Bi 3.06-3.15
Sn  0.3631  0.6076  0.9401  1 Ga 2.84, 1 Sn 3.05, 2 Bi 3.06-3.15
Sn  0.3924  0.0599  0.6369  1 Ga 2.84, 1 Sn 3.05, 2 Bi 3.06-3.15
Sn  0.3924  0.8324  0.7555  1 Ga 2.84, 1 Sn 3.05, 2 Bi 3.06-3.15
Sn  0.4231  0.3631  0.2555  1 Ga 2.84, 1 Sn 3.05, 2 Bi 3.06-3.15
Sn  0.4231  0.5599  0.1676  1 Ga 2.84, 1 Sn 3.05, 2 Bi 3.06-3.15
Sn  0.4401  0.1076  0.8631  1 Ga 2.84, 1 Sn 3.05, 2 Bi 3.06-3.15
Sn  0.4401  0.8324  0.5769  1 Ga 2.84, 1 Sn 3.05, 2 Bi 3.06-3.15
Sn  0.5599  0.1676  0.4231  1 Ga 2.84, 1 Sn 3.05, 2 Bi 3.06-3.15
Sn  0.5599  0.8924  0.1369  1 Ga 2.84, 1 Sn 3.05, 2 Bi 3.06-3.15
Sn  0.5769  0.4401  0.8324  1 Ga 2.84, 1 Sn 3.05, 2 Bi 3.06-3.15
Sn  0.5769  0.6369  0.7445  1 Ga 2.84, 1 Sn 3.05, 2 Bi 3.06-3.15
Sn  0.6076  0.1676  0.2445  1 Ga 2.84, 1 Sn 3.05, 2 Bi 3.06-3.15
Sn  0.6076  0.9401  0.3631  1 Ga 2.84, 1 Sn 3.05, 2 Bi 3.06-3.15
Sn  0.6369  0.3924  0.0599  1 Ga 2.84, 1 Sn 3.05, 2 Bi 3.06-3.15
Sn  0.6369  0.7445  0.5769  1 Ga 2.84, 1 Sn 3.05, 2 Bi 3.06-3.15
Sn  0.6676  0.0599  0.9231  1 Ga 2.84, 1 Sn 3.05, 2 Bi 3.06-3.15
Sn  0.6676  0.1076  0.7445  1 Ga 2.84, 1 Sn 3.05, 2 Bi 3.06-3.15
Sn  0.7445  0.5769  0.6369  1 Ga 2.84, 1 Sn 3.05, 2 Bi 3.06-3.15
Sn  0.7445  0.6676  0.1076  1 Ga 2.84, 1 Sn 3.05, 2 Bi 3.06-3.15
Sn  0.7555  0.3924  0.8324  1 Ga 2.84, 1 Sn 3.05, 2 Bi 3.06-3.15
Sn  0.7555  0.8631  0.9231  1 Ga 2.84, 1 Sn 3.05, 2 Bi 3.06-3.15
Sn  0.8324  0.5769  0.4401  1 Ga 2.84, 1 Sn 3.05, 2 Bi 3.06-3.15
Sn  0.8324  0.7555  0.3924  1 Ga 2.84, 1 Sn 3.05, 2 Bi 3.06-3.15
Sn  0.8631  0.4401  0.1076  1 Ga 2.84, 1 Sn 3.05, 2 Bi 3.06-3.15
Sn  0.8631  0.9231  0.7555  1 Ga 2.84, 1 Sn 3.05, 2 Bi 3.06-3.15
Sn  0.8924  0.1369  0.5599  1 Ga 2.84, 1 Sn 3.05, 2 Bi 3.06-3.15
Sn  0.8924  0.2555  0.3324  1 Ga 2.84, 1 Sn 3.05, 2 Bi 3.06-3.15
Sn  0.9231  0.6676  0.0599  1 Ga 2.84, 1 Sn 3.05, 2 Bi 3.06-3.15
Sn  0.9231  0.7555  0.8631  1 Ga 2.84, 1 Sn 3.05, 2 Bi 3.06-3.15
Sn  0.9401  0.0769  0.3324  1 Ga 2.84, 1 Sn 3.05, 2 Bi 3.06-3.15
Sn  0.9401  0.3631  0.6076  1 Ga 2.84, 1 Sn 3.05, 2 Bi 3.06-3.15
Bi  0.0000  0.0000  0.0000  6 Sn 3.15
Bi  0.0000  0.0000  0.5000  6 Sn 3.15
Bi  0.0000  0.5000  0.0000  6 Sn 3.15
Bi  0.0000  0.5000  0.5000  6 Sn 3.15
Bi  0.1250  0.7500  0.8750  4 Sn 3.06
Bi  0.1250  0.8750  0.2500  4 Sn 3.06
Bi  0.2500  0.1250  0.8750  4 Sn 3.06
Bi  0.2500  0.6250  0.3750  4 Sn 3.06
Bi  0.3750  0.2500  0.6250  4 Sn 3.06
Bi  0.3750  0.6250  0.7500  4 Sn 3.06
Bi  0.5000  0.0000  0.0000  6 Sn 3.15
Bi  0.5000  0.0000  0.5000  6 Sn 3.15
Bi  0.5000  0.5000  0.0000  6 Sn 3.15
Bi  0.5000  0.5000  0.5000  6 Sn 3.15
Bi  0.6250  0.3750  0.2500  4 Sn 3.06
Bi  0.6250  0.7500  0.3750  4 Sn 3.06
Bi  0.7500  0.3750  0.6250  4 Sn 3.06
Bi  0.7500  0.8750  0.1250  4 Sn 3.06
Bi  0.8750  0.1250  0.7500  4 Sn 3.06
Bi  0.8750  0.2500  0.1250  4 Sn 3.06

Values from the calculation:
formation energy from the elements: 186 meV/atom
total moment: 0.00 μB per cell
D(E_F): 44.2 states/eV per cell
energy: -3.64 eV/atom

***

No. 2
## Ga4SnBi (PBE)

Data for a geometry-optimized Ga4SnBi structure.

Unit cell a=5.7752 b=5.7752 c=5.7752 alpha=60.00 beta=60.00 gamma=60.00
Last column: nearest neighbours and their distance in Å.
Fractional positions:
Ga  0.1247  0.1247  0.1247  6 Ga 2.88-2.89
Ga  0.1247  0.1247  0.6260  6 Ga 2.88-2.89
Ga  0.1247  0.6260  0.1247  6 Ga 2.88-2.89
Ga  0.6260  0.1247  0.1247  6 Ga 2.88-2.89
Sn  0.7500  0.7500  0.7500  12 Ga 3.39, 4 Bi 3.54
Bi  0.5000  0.5000  0.5000  12 Ga 3.39, 4 Sn 3.54

Values from the calculation:
formation energy from the elements: 73 meV/atom
total moment: 0.00 μB per cell
D(E_F): 2.6 states/eV per cell
energy: -3.26 eV/atom

***

No. 3
## Ga2SnBi (PBE)

Data for a geometry-optimized Ga2SnBi structure.

Unit cell a=4.8692 b=4.8692 c=4.2112 alpha=90.00 beta=90.00 gamma=90.00
Last column: nearest neighbours and their distance in Å.
Fractional positions:
Ga  0.0000  0.5000  0.0000  4 Sn 3.22, 4 Bi 3.22, 4 Ga 3.44
Ga  0.5000  0.0000  0.0000  4 Sn 3.22, 4 Bi 3.22, 4 Ga 3.44
Sn  0.0000  0.0000  0.5000  8 Ga 3.22, 4 Bi 3.44
Bi  0.5000  0.5000  0.5000  8 Ga 3.22, 4 Sn 3.44

Values from the calculation:
formation energy from the elements: 82 meV/atom
total moment: 0.00 μB per cell
offset from the most stable computed form: 9 meV per atom
D(E_F): 2.4 states/eV per cell
energy: -3.40 eV/atom

***

No. 4
## GaSn2Bi (PBE)

Data for a geometry-optimized GaSn2Bi structure.

Unit cell a=4.4601 b=4.4601 c=7.2121 alpha=108.70 beta=108.70 gamma=59.75
Last column: nearest neighbours and their distance in Å.
Fractional positions:
Ga  0.0000  0.0000  0.0000  6 Sn 2.86-2.97
Sn  0.3966  0.3966  0.1944  3 Ga 2.86-2.89
Sn  0.5929  0.5929  0.7794  3 Ga 2.96-2.97, 3 Bi 3.20-3.24
Bi  0.8306  0.8306  0.4912  6 Sn 3.20-3.25, 1 Ga 3.41

Values from the calculation:
formation energy from the elements: 79 meV/atom
total moment: 0.00 μB per cell
offset from the most stable computed form: 34 meV per atom
D(E_F): 1.6 states/eV per cell
energy: -3.65 eV/atom

***

No. 5
## GaSnBi (PBE)

Data for a geometry-optimized GaSnBi structure.

Unit cell a=3.9803 b=3.9803 c=12.4194 alpha=90.00 beta=90.00 gamma=90.00
Last column: nearest neighbours and their distance in Å.
Fractional positions:
Ga  0.2500  0.7500  0.0000  4 Ga 2.81, 4 Sn 2.89
Ga  0.7500  0.2500  0.0000  4 Ga 2.81, 4 Sn 2.89
Sn  0.2500  0.2500  0.1682  4 Ga 2.89
Sn  0.7500  0.7500  0.8318  4 Ga 2.89
Bi  0.2500  0.2500  0.4388  4 Bi 3.20, 1 Sn 3.36
Bi  0.7500  0.7500  0.5612  4 Bi 3.20, 1 Sn 3.36

Values from the calculation:
formation energy from the elements: 157 meV/atom
total moment: 0.00 μB per cell
offset from the most stable computed form: 85 meV per atom
D(E_F): 1.4 states/eV per cell
energy: -3.48 eV/atom

***

No. 6
## GaSnBi (PBE)

Data for a geometry-optimized GaSnBi structure.

Unit cell a=8.5943 b=4.4376 c=4.4376 alpha=87.73 beta=90.00 gamma=90.00
Last column: nearest neighbours and their distance in Å.
Fractional positions:
Ga  0.0009  0.2500  0.7500  2 Sn 3.01-3.02, 4 Ga 3.07-3.20, 2 Bi 3.22-3.25
Ga  0.9991  0.7500  0.2500  2 Sn 3.01-3.02, 4 Ga 3.07-3.20, 2 Bi 3.22-3.25
Sn  0.2973  0.5041  0.0041  2 Ga 3.01-3.02, 5 Bi 3.09-3.23
Sn  0.7027  0.0041  0.5041  2 Ga 3.01-3.02, 5 Bi 3.09-3.23
Bi  0.3267  0.0030  0.5030  5 Sn 3.09-3.23, 2 Ga 3.22-3.25
Bi  0.6733  0.5030  0.0030  5 Sn 3.09-3.23, 2 Ga 3.22-3.25

Values from the calculation:
formation energy from the elements: 114 meV/atom
total moment: 0.00 μB per cell
offset from the most stable computed form: 42 meV per atom
D(E_F): 2.9 states/eV per cell
energy: -3.52 eV/atom